(1)
VASP calculation (PBE-GGA) on YTe3I after structural relaxation.

Structure (POSCAR):
```
YTe3I
1.0
5.751 0.000 0.000
0.000 5.751 0.000
0.000 0.000 5.751
Y Te I
1 3 1
Direct
0.000 0.000 0.000
0.000 0.500 0.500
0.500 0.000 0.500
0.500 0.500 0.000
0.500 0.500 0.500
```

E above lowest polymorph = 490 meV/atom
E_tot = -3.136 eV/atom
formation energy (no corrections) = 0.35 eV per atom



(2)
VASP calculation (PBE-GGA) on AlMoBr2 after structural relaxation.

Structure (POSCAR):
```
AlMoBr2
1.0
3.171 0.000 0.000
0.000 3.171 0.000
0.000 0.000 8.666
Al Mo Br
1 1 2
Direct
0.000 0.000 0.000
0.500 0.500 0.800
0.000 0.000 0.622
0.500 0.500 0.207
```

E above lowest polymorph = 283 meV/atom
E_tot = -4.407 eV/atom
formation energy (no corrections) = 0.07 eV per atom